HfCuReOs PBE-GGA relaxed; energy above the most stable polymorph in this dataset = 0.0 kJ per mole of atoms; calculated total energy = -9.465 eV/atom; mass density = 16467 kg/m³; formation enthalpy at 0 K = -0.0327 eV/atom; total magnetic moment = 0.0 μB per cell
1.0
-1.9740 3.3559 -0.1514
-2.4214 -1.4520 -0.6143
-1.1226 -0.4163 5.4088
Os Cu Re Hf
1 1 1 1
direct
0.5000 0.0000 0.0377 Os
0.5000 0.0000 0.5083 Cu
0.0000 0.5000 0.2480 Re
0.0000 0.5000 0.7603 Hf


HfCuReOs PBE-GGA relaxed; energy above the most stable polymorph in this dataset = 4.8 kJ per mole of atoms; calculated total energy = -9.415 eV/atom; mass density = 16636 kg/m³; formation enthalpy at 0 K = 0.0171 eV/atom; total magnetic moment = 0.0 μB per cell
1.0
-2.4084 0.8827 -3.0848
-3.1784 -0.1284 2.4448
0.8397 7.4787 1.4844
Os Re Hf Cu
2 2 2 2
direct
0.5000 0.5000 0.0000 Os
0.0000 0.0000 0.5000 Os
0.5000 0.0000 0.2500 Re
0.0000 0.5000 0.7500 Re
0.5000 0.0000 0.7500 Hf
0.0000 0.5000 0.2500 Hf
0.0000 0.0000 0.0000 Cu
0.5000 0.5000 0.5000 Cu


HfCuReOs PBE-GGA relaxed; energy above the most stable polymorph in this dataset = 1.5 kJ per mole of atoms; calculated total energy = -9.449 eV/atom; mass density = 16694 kg/m³; formation enthalpy at 0 K = -0.0166 eV/atom; total magnetic moment = 0.0 μB per cell
1.0
-0.7832 -2.3526 -2.9811
3.5868 -1.5204 0.2575
-1.3792 -2.8160 2.5847
Os Cu Re Hf
1 1 1 1
direct
0.0000 0.0000 0.0000 Os
0.5000 0.0000 0.5000 Cu
0.5000 0.5000 0.0000 Re
0.0000 0.5000 0.5000 Hf


What is the formula in the second record? HfCuReOs